This record from Alexandria describes a relaxed structure of TmCoSi2Rh. The functional is PBE.

abc: 3.9505 3.9505 9.8465
angles: 90.00 90.00 90.00
Closest atoms and distances in Å follow each position.
Fractional coordinates of all 10 atoms:
Tm1 0.0000 0.0000 0.0000  8 Si 3.04, 4 Co 3.16, 4 Rh 3.16
Tm2 0.5000 0.5000 0.5000  8 Si 3.04, 4 Co 3.16, 4 Rh 3.16
Co1 0.0000 0.5000 0.2500  4 Si 2.34
Co2 0.5000 0.0000 0.7500  4 Si 2.34
Si1 0.0000 0.0000 0.3770  2 Co 2.34, 2 Rh 2.34, 1 Si 2.42
Si2 0.0000 0.0000 0.6230  2 Co 2.34, 2 Rh 2.34, 1 Si 2.42
Si3 0.5000 0.5000 0.1230  2 Co 2.34, 2 Rh 2.34, 1 Si 2.42
Si4 0.5000 0.5000 0.8770  2 Co 2.34, 2 Rh 2.34, 1 Si 2.42
Rh1 0.0000 0.5000 0.7500  4 Si 2.34
Rh2 0.5000 0.0000 0.2500  4 Si 2.34

Formation energy from raw total energies ... -4.8 eV per formula unit
Crystal system ... tetragonal


This record from Alexandria describes a relaxed structure of U2Co3Si4Rh. The functional is PBE.

abc: 3.9213 3.9213 9.6015
angles: 90.00 90.00 90.00
Closest atoms and distances in Å follow each position.
Fractional coordinates of all 10 atoms:
U1 0.0000 0.5000 0.2415  6 Co 2.98-3.16, 8 Si 3.00-3.04, 2 Rh 3.16
U2 0.5000 0.0000 0.7585  6 Co 2.98-3.16, 8 Si 3.00-3.04, 2 Rh 3.16
Co1 0.0000 0.5000 0.8724  5 Si 2.25-2.31
Co2 0.5000 0.0000 0.1276  5 Si 2.25-2.31
Co3 0.5000 0.5000 0.5000  4 Si 2.37
Si1 0.0000 0.0000 0.0000  4 Co 2.31
Si2 0.0000 0.5000 0.6379  3 Co 2.25-2.37, 2 Rh 2.37
Si3 0.5000 0.0000 0.3621  3 Co 2.25-2.37, 2 Rh 2.37
Si4 0.5000 0.5000 0.0000  4 Co 2.31
Rh1 0.0000 0.0000 0.5000  4 Si 2.37

Formation energy from raw total energies ... -6.5 eV per formula unit
Crystal system ... tetragonal


This record from Alexandria describes a relaxed structure of U2CoSi4Rh3. The functional is PBE.

abc: 4.0387 4.0387 9.8543
angles: 90.00 90.00 90.00
Closest atoms and distances in Å follow each position.
Fractional coordinates of all 10 atoms:
U1 0.0000 0.5000 0.2482  8 Si 3.09-3.20, 6 Rh 3.09-3.17, 2 Co 3.17
U2 0.5000 0.0000 0.7518  8 Si 3.09-3.20, 6 Rh 3.09-3.17, 2 Co 3.17
Co1 0.5000 0.5000 0.0000  4 Si 2.38
Si1 0.0000 0.0000 0.5000  4 Rh 2.40
Si2 0.0000 0.5000 0.8721  3 Rh 2.37-2.38, 2 Co 2.38
Si3 0.5000 0.0000 0.1279  3 Rh 2.37-2.38, 2 Co 2.38
Si4 0.5000 0.5000 0.5000  4 Rh 2.40
Rh1 0.0000 0.0000 0.0000  4 Si 2.38
Rh2 0.0000 0.5000 0.6313  5 Si 2.37-2.40
Rh3 0.5000 0.0000 0.3687  5 Si 2.37-2.40

Formation energy from raw total energies ... -6.9 eV per formula unit
Crystal system ... tetragonal


This record from Alexandria describes a relaxed structure of UCoSi2Rh. The functional is PBE.

abc: 3.9367 3.9367 9.9618
angles: 90.00 90.00 90.00
Closest atoms and distances in Å follow each position.
Fractional coordinates of all 10 atoms:
U1 0.0000 0.0000 0.0000  8 Si 3.03, 4 Co 3.17, 4 Rh 3.17
U2 0.5000 0.5000 0.5000  8 Si 3.03, 4 Co 3.17, 4 Rh 3.17
Co1 0.0000 0.5000 0.2500  4 Si 2.36
Co2 0.5000 0.0000 0.7500  4 Si 2.36
Si1 0.0000 0.0000 0.3809  2 Co 2.36, 2 Rh 2.36, 1 Si 2.37
Si2 0.0000 0.0000 0.6191  2 Co 2.36, 2 Rh 2.36, 1 Si 2.37
Si3 0.5000 0.5000 0.1191  2 Co 2.36, 2 Rh 2.36, 1 Si 2.37
Si4 0.5000 0.5000 0.8809  2 Co 2.36, 2 Rh 2.36, 1 Si 2.37
Rh1 0.0000 0.5000 0.7500  4 Si 2.36
Rh2 0.5000 0.0000 0.2500  4 Si 2.36

Formation energy from raw total energies ... -3.4 eV per formula unit
Crystal system ... tetragonal


This record from Alexandria describes a relaxed structure of U2Co4Si3Rh. The functional is PBE.

abc: 3.6645 3.6645 10.6926
angles: 90.00 90.00 90.00
Closest atoms and distances in Å follow each position.
Fractional coordinates of all 10 atoms:
U1 0.0000 0.5000 0.2453  4 Co 2.71, 4 Si 2.98
U2 0.5000 0.0000 0.7547  4 Co 2.71, 4 Si 2.98
Co1 0.0000 0.0000 0.5000  4 Si 2.22
Co2 0.0000 0.5000 0.8292  1 Si 2.26
Co3 0.5000 0.0000 0.1708  1 Si 2.26
Co4 0.5000 0.5000 0.5000  4 Si 2.22
Si1 0.0000 0.0000 0.0000  4 Co 2.59, 4 Rh 2.59
Si2 0.0000 0.5000 0.6180  5 Co 2.22-2.26
Si3 0.5000 0.0000 0.3820  5 Co 2.22-2.26
Rh1 0.5000 0.5000 0.0000  4 Co 2.59, 4 Si 2.59

Formation energy from raw total energies ... -5.5 eV per formula unit
Crystal system ... tetragonal


This record from Alexandria describes a relaxed structure of SmCoRh. The functional is PBE.

abc: 3.3630 3.3630 9.5175
angles: 90.00 90.00 90.00
Closest atoms and distances in Å follow each position.
Fractional coordinates of all 6 atoms:
Sm1 0.0000 0.0000 0.1810  5 Co 2.94-3.04, 4 Rh 2.94
Sm2 0.0000 0.0000 0.8190  5 Co 2.94-3.04, 4 Rh 2.94
Co1 0.0000 0.0000 0.5000  8 Rh 2.71, 2 Sm 3.04
Co2 0.5000 0.5000 0.0000  8 Sm 2.94
Rh1 0.5000 0.5000 0.3631  1 Rh 2.61, 4 Co 2.71
Rh2 0.5000 0.5000 0.6369  1 Rh 2.61, 4 Co 2.71

Formation energy from the elements ... -20 kJ/mol of formula units
Crystal system ... tetragonal


This record from Alexandria describes a relaxed structure of Sm6CoRh2. The functional is PBE.

abc: 6.6003 7.4080 11.8872
angles: 90.00 123.72 90.00
Closest atoms and distances in Å follow each position.
Fractional coordinates of all 18 atoms:
Sm1 0.0965 0.1737 0.4304  1 Co 2.64, 1 Rh 2.92
Sm2 0.0965 0.3263 0.9304  1 Co 2.64, 1 Rh 2.92
Sm3 0.2601 0.6803 0.4318  1 Co 2.71, 2 Rh 2.91-3.01
Sm4 0.2601 0.8197 0.9318  1 Co 2.71, 2 Rh 2.91-3.01
Sm5 0.3997 0.0443 0.2487  1 Co 2.70, 2 Rh 2.85-2.90
Sm6 0.3997 0.4557 0.7487  1 Co 2.70, 2 Rh 2.85-2.90
Sm7 0.6003 0.5443 0.2513  1 Co 2.70, 2 Rh 2.85-2.90
Sm8 0.6003 0.9557 0.7513  1 Co 2.70, 2 Rh 2.85-2.90
Sm9 0.7399 0.1803 0.0682  1 Co 2.71, 2 Rh 2.91-3.01
Sm10 0.7399 0.3197 0.5682  1 Co 2.71, 2 Rh 2.91-3.01
Sm11 0.9035 0.6737 0.0696  1 Co 2.64, 1 Rh 2.92
Sm12 0.9035 0.8263 0.5696  1 Co 2.64, 1 Rh 2.92
Co1 0.5000 0.0000 0.5000  6 Sm 2.64-2.71
Co2 0.5000 0.5000 0.0000  6 Sm 2.64-2.71
Rh1 0.2037 0.1160 0.7555  6 Sm 2.85-3.01
Rh2 0.2037 0.3840 0.2555  6 Sm 2.85-3.01
Rh3 0.7963 0.6160 0.7445  6 Sm 2.85-3.01
Rh4 0.7963 0.8840 0.2445  6 Sm 2.85-3.01

Formation energy from the elements ... -348 kJ/mol of formula units
Crystal system ... monoclinic


This record from Alexandria describes a relaxed structure of Sm6Co2Rh. The functional is PBE.

abc: 8.3400 8.3400 8.3400
angles: 110.40 109.37 108.65
Closest atoms and distances in Å follow each position.
Fractional coordinates of all 18 atoms:
Sm1 0.0088 0.8261 0.1828  3 Co 2.72-2.93
Sm2 0.2525 0.5689 0.3164  1 Co 2.82, 2 Rh 2.97-3.01
Sm3 0.2525 0.9361 0.6836  1 Co 2.82, 2 Rh 2.97-3.01
Sm4 0.2682 0.3227 0.5909  3 Co 2.97-3.01, 1 Rh 3.09
Sm5 0.2682 0.6773 0.9454  3 Co 2.97-3.01, 1 Rh 3.09
Sm6 0.3567 0.1739 0.1828  3 Co 2.72-2.93
Sm7 0.6433 0.8261 0.8172  3 Co 2.72-2.93
Sm8 0.7318 0.3227 0.0546  3 Co 2.97-3.01, 1 Rh 3.09
Sm9 0.7318 0.6773 0.4091  3 Co 2.97-3.01, 1 Rh 3.09
Sm10 0.7475 0.0639 0.3164  1 Co 2.82, 2 Rh 2.97-3.01
Sm11 0.7475 0.4311 0.6836  1 Co 2.82, 2 Rh 2.97-3.01
Sm12 0.9912 0.1739 0.8172  3 Co 2.72-2.93
Co1 0.0000 0.1701 0.1701  8 Sm 2.82-2.97, 1 Rh 3.14
Co2 0.0000 0.8299 0.8299  8 Sm 2.82-2.97, 1 Rh 3.14
Co3 0.3867 0.3867 0.0000  1 Co 2.20
Co4 0.6133 0.6133 0.0000  1 Co 2.20
Rh1 0.0000 0.5000 0.5000  8 Sm 3.01-3.09, 2 Co 3.14
Rh2 0.5000 0.0000 0.5000  4 Sm 2.97

Formation energy from the elements ... -204 kJ/mol of formula units
Crystal system ... orthorhombic
ΔE to the lowest computed polymorph ... 0 meV per atom


This record from Alexandria describes a relaxed structure of Sm8CoRh2. The functional is PBE.

abc: 7.5252 7.5252 6.3389
angles: 101.87 101.87 111.90
Closest atoms and distances in Å follow each position.
Fractional coordinates of all 11 atoms:
Sm1 0.0000 0.0000 0.0000  2 Rh 2.98, 1 Co 3.02
Sm2 0.0019 0.2680 0.5836  2 Rh 2.81-2.84, 1 Co 3.06
Sm3 0.1657 0.5476 0.1938  1 Co 2.71
Sm4 0.2680 0.0019 0.5836  2 Rh 2.81-2.84, 1 Co 3.06
Sm5 0.4347 0.6989 0.8256  2 Rh 2.85-2.86, 1 Co 2.89
Sm6 0.5476 0.1657 0.1938  1 Co 2.71
Sm7 0.6989 0.4347 0.8256  2 Rh 2.85-2.86, 1 Co 2.89
Sm8 0.7086 0.7086 0.3875  2 Rh 2.98, 1 Co 3.11
Co1 0.3558 0.3558 0.9905  5 Sm 2.71-3.02
Rh1 0.0330 0.6625 0.6966  6 Sm 2.81-2.98
Rh2 0.6625 0.0330 0.6966  6 Sm 2.81-2.98

Formation energy from the elements ... -247 kJ/mol of formula units
Crystal system ... monoclinic


This record from Alexandria describes a relaxed structure of SmCo4Rh. The functional is PBE.

abc: 4.9473 4.9473 4.9473
angles: 60.00 60.00 60.00
Closest atoms and distances in Å follow each position.
Fractional coordinates of all 6 atoms:
Sm1 0.0000 0.0000 0.0000  12 Co 2.90, 4 Rh 3.03
Co1 0.1265 0.6245 0.6245  6 Co 2.46-2.48
Co2 0.6245 0.1265 0.6245  6 Co 2.46-2.48
Co3 0.6245 0.6245 0.1265  6 Co 2.46-2.48
Co4 0.6245 0.6245 0.6245  6 Co 2.46-2.48
Rh1 0.2500 0.2500 0.2500  12 Co 2.90, 4 Sm 3.03

Formation energy from the elements ... -24 kJ/mol of formula units
Crystal system ... cubic


This record from Alexandria describes a relaxed structure of Sm12CoRh6. The functional is PBE.

abc: 8.2202 8.2202 8.2202
angles: 99.42 99.42 99.42
Closest atoms and distances in Å follow each position.
Fractional coordinates of all 19 atoms:
Sm1 0.0410 0.9215 0.6820  1 Co 2.68, 2 Rh 2.85-2.89
Sm2 0.0785 0.3180 0.9590  1 Co 2.68, 2 Rh 2.85-2.89
Sm3 0.1770 0.5811 0.4173  4 Rh 2.77-3.03
Sm4 0.3180 0.9590 0.0785  1 Co 2.68, 2 Rh 2.85-2.89
Sm5 0.4173 0.1770 0.5811  4 Rh 2.77-3.03
Sm6 0.4189 0.5827 0.8230  4 Rh 2.77-3.03
Sm7 0.5811 0.4173 0.1770  4 Rh 2.77-3.03
Sm8 0.5827 0.8230 0.4189  4 Rh 2.77-3.03
Sm9 0.6820 0.0410 0.9215  1 Co 2.68, 2 Rh 2.85-2.89
Sm10 0.8230 0.4189 0.5827  4 Rh 2.77-3.03
Sm11 0.9215 0.6820 0.0410  1 Co 2.68, 2 Rh 2.85-2.89
Sm12 0.9590 0.0785 0.3180  1 Co 2.68, 2 Rh 2.85-2.89
Co1 0.0000 0.0000 0.0000  6 Sm 2.68
Rh1 0.1330 0.3078 0.6187  6 Sm 2.77-3.03
Rh2 0.3078 0.6187 0.1330  6 Sm 2.77-3.03
Rh3 0.3813 0.8670 0.6922  6 Sm 2.77-3.03
Rh4 0.6187 0.1330 0.3078  6 Sm 2.77-3.03
Rh5 0.6922 0.3813 0.8670  6 Sm 2.77-3.03
Rh6 0.8670 0.6922 0.3813  6 Sm 2.77-3.03

Formation energy from the elements ... -898 kJ/mol of formula units
Crystal system ... trigonal